! BaSrPb2I8 (PBE-GGA, relaxed); values from VASP
! Space-group type = No. 10
! Formation energy without anion corrections = -1.157 eV/atom
&SYSTEM
  ibrav = 0, nat = 12, ntyp = 4
/
ATOMIC_SPECIES
I 126.90 I.upf
Pb 207.20 Pb.upf
Ba 137.33 Ba.upf
Sr 87.62 Sr.upf
ATOMIC_POSITIONS angstrom
I 1.300 5.621 2.367
I 1.303 5.628 7.562
Pb 3.986 3.768 7.501
I 2.762 1.951 9.939
Ba 0.003 0.006 4.972
Sr 0.000 0.000 0.000
I 2.850 2.017 4.967
I 6.669 1.909 7.562
I 6.665 1.902 2.367
Pb 3.983 3.762 2.429
I 5.207 5.579 -0.010
I 5.118 5.513 4.962
CELL_PARAMETERS angstrom
7.900 0.000 -0.005
0.062 7.518 -0.008
0.006 0.012 9.943